Compound: Hf2InPd2
Source: OQMD
Functional: GGA-PBE
Structure: optimized geometry

Lattice parameters (Å, degrees): 7.5316 7.5316 3.3747 90.00 90.00 90.00
Sites, in units of the cell vectors:
Hf (0.3339, 0.1661, 0.5000)
Hf (0.8339, 0.3339, 0.5000)
Hf (0.1661, 0.6661, 0.5000)
Hf (0.6661, 0.8339, 0.5000)
In (0.0000, 0.0000, 0.0000)
In (0.5000, 0.5000, 0.0000)
Pd (0.6299, 0.1299, 0.0000)
Pd (0.1299, 0.3701, 0.0000)
Pd (0.8701, 0.6299, 0.0000)
Pd (0.3701, 0.8701, 0.0000)

Summary:
energy: -72.42 eV/cell
magnetization: 0.005 μB per atom
volume: 191.43 Å³/cell


Compound: PmHfIn
Source: OQMD
Functional: GGA-PBE
Structure: optimized geometry

Lattice parameters (Å, degrees): 5.1006 5.1006 5.1006 60.00 60.00 60.00
Sites, in units of the cell vectors:
Hf (0.2500, 0.2500, 0.2500)
In (0.7500, 0.7500, 0.7500)
Pm (0.0000, 0.0000, 0.0000)

Summary:
energy: -15.05 eV/cell
magnetization: 0.065 μB per atom
volume: 93.83 Å³/cell


Compound: PmHfIn
Source: OQMD
Functional: GGA-PBE
Structure: optimized geometry

Lattice parameters (Å, degrees): 5.0155 5.0155 5.0155 60.00 60.00 60.00
Sites, in units of the cell vectors:
Hf (0.2500, 0.2500, 0.2500)
In (0.0000, 0.0000, 0.0000)
Pm (0.7500, 0.7500, 0.7500)

Summary:
energy: -16.62 eV/cell
magnetization: 0.004 μB per atom
volume: 89.22 Å³/cell


Compound: PrHfIn3
Source: OQMD
Functional: GGA-PBE
Structure: optimized geometry

Lattice parameters (Å, degrees): 14.1038 14.1038 4.0398 90.00 90.00 159.84
Sites, in units of the cell vectors:
Hf (0.6310, 0.3690, 0.0000)
Hf (0.3690, 0.6310, 0.0000)
In (0.9475, 0.0525, 0.0000)
In (0.0525, 0.9475, 0.0000)
In (0.7229, 0.2771, 0.5000)
In (0.5513, 0.4487, 0.5000)
In (0.4487, 0.5513, 0.5000)
In (0.2771, 0.7229, 0.5000)
Pr (0.8510, 0.1490, 0.5000)
Pr (0.1490, 0.8510, 0.5000)

Summary:
energy: -45.24 eV/cell
magnetization: 0.000 μB per atom
volume: 276.96 Å³/cell